Density functional theory data (GGA-PBE) for ZrTc2Pt after structural relaxation.

Calculated values
The total magnetization comes out at 0.0 μB/f.u. The calculation puts the density of states at the Fermi level at 4.0 states/eV/cell. The calculation puts the excess energy over the best structure of this formula in the dataset at 36 meV per atom. As for the crystal system: tetragonal.

Lattice parameters (Å, degrees): 4.862 4.862 4.862 130.25 130.25 73.00
Element x y z (fractional)
Zr (0.000, 0.000, 0.000)
Tc (0.500, 0.500, 0.000)
Tc (0.750, 0.250, 0.500)
Pt (0.250, 0.750, 0.500)